VASP calculation (PBE with a Hubbard U) on crystalline Zn2CoP2H8O12 at its relaxed geometry.

Lattice parameters (Å, degrees): 10.7961 19.0345 5.0219 90.00 90.00 90.00
With the nearest neighbours (Å) after each atom.
Positions (direct):
Zn 0.1443 0.0026 0.2257  4 O 1.93-2.02
Zn 0.1443 0.4974 0.2257  4 O 1.93-2.02
Zn 0.3557 0.5026 0.7257  4 O 1.93-2.02
Zn 0.3557 0.9974 0.7257  4 O 1.93-2.02
Zn 0.6443 0.0026 0.2743  4 O 1.93-2.02
Zn 0.6443 0.4974 0.2743  4 O 1.93-2.02
Zn 0.8557 0.5026 0.7743  4 O 1.93-2.02
Zn 0.8557 0.9974 0.7743  4 O 1.93-2.02
Co 0.2286 0.7500 0.5930  6 O 2.09-2.21
Co 0.2714 0.2500 0.0930  6 O 2.09-2.21
Co 0.7286 0.7500 0.9070  6 O 2.09-2.21
Co 0.7714 0.2500 0.4070  6 O 2.09-2.21
P 0.1050 0.5942 0.7311  4 O 1.52-1.59
P 0.1050 0.9058 0.7311  4 O 1.52-1.59
P 0.3950 0.0942 0.2311  4 O 1.52-1.59
P 0.3950 0.4058 0.2311  4 O 1.52-1.59
P 0.6050 0.5942 0.7689  4 O 1.52-1.59
P 0.6050 0.9058 0.7689  4 O 1.52-1.59
P 0.8950 0.0942 0.2689  4 O 1.52-1.59
P 0.8950 0.4058 0.2689  4 O 1.52-1.59
H 0.1081 0.1433 0.9684  1 O 0.99
H 0.1081 0.3567 0.9684  1 O 0.99
H 0.1148 0.7099 0.1357  1 O 0.99
H 0.1148 0.7901 0.1357  1 O 0.99
H 0.1359 0.2098 0.5107  1 O 0.99
H 0.1359 0.2902 0.5107  1 O 0.99
H 0.2408 0.1343 0.8450  1 O 0.99
H 0.2408 0.3657 0.8450  1 O 0.99
H 0.2592 0.6343 0.3450  1 O 0.99
H 0.2592 0.8657 0.3450  1 O 0.99
H 0.3641 0.7098 0.0107  1 O 0.99
H 0.3641 0.7902 0.0107  1 O 0.99
H 0.3852 0.2099 0.6357  1 O 0.99
H 0.3852 0.2901 0.6357  1 O 0.99
H 0.3919 0.6433 0.4684  1 O 0.99
H 0.3919 0.8567 0.4684  1 O 0.99
H 0.6081 0.1433 0.5316  1 O 0.99
H 0.6081 0.3567 0.5316  1 O 0.99
H 0.6148 0.7099 0.3643  1 O 0.99
H 0.6148 0.7901 0.3643  1 O 0.99
H 0.6359 0.2098 0.9893  1 O 0.99
H 0.6359 0.2902 0.9893  1 O 0.99
H 0.7408 0.1343 0.6550  1 O 0.99
H 0.7408 0.3657 0.6550  1 O 0.99
H 0.7592 0.6343 0.1550  1 O 0.99
H 0.7592 0.8657 0.1550  1 O 0.99
H 0.8641 0.7098 0.4893  1 O 0.99
H 0.8641 0.7902 0.4893  1 O 0.99
H 0.8852 0.2099 0.8643  1 O 0.99
H 0.8852 0.2901 0.8643  1 O 0.99
H 0.8919 0.6433 0.0316  1 O 0.99
H 0.8919 0.8567 0.0316  1 O 0.99
O 0.0296 0.0792 0.1740  1 P 1.56
O 0.0296 0.4208 0.1740  1 P 1.56
O 0.1093 0.7500 0.2612  2 H 0.99
O 0.1203 0.5837 0.4256  1 P 1.56
O 0.1203 0.9163 0.4256  1 P 1.56
O 0.1349 0.2500 0.3869  2 H 0.99
O 0.1429 0.6683 0.8116  1 P 1.52
O 0.1429 0.8317 0.8116  1 P 1.52
O 0.1719 0.1685 0.8623  2 H 0.99
O 0.1719 0.3315 0.8623  2 H 0.99
O 0.1914 0.5366 0.8684  1 P 1.59
O 0.1914 0.9634 0.8684  1 P 1.59
O 0.3086 0.0366 0.3684  1 P 1.59
O 0.3086 0.4634 0.3684  1 P 1.59
O 0.3281 0.6685 0.3623  2 H 0.99
O 0.3281 0.8315 0.3623  2 H 0.99
O 0.3571 0.1683 0.3116  1 P 1.52
O 0.3571 0.3317 0.3116  1 P 1.52
O 0.3651 0.7500 0.8869  2 H 0.99
O 0.3797 0.0837 0.9256  1 P 1.56
O 0.3797 0.4163 0.9256  1 P 1.56
O 0.3907 0.2500 0.7612  2 H 0.99
O 0.4704 0.5792 0.6740  1 P 1.56
O 0.4704 0.9208 0.6740  1 P 1.56
O 0.5296 0.0792 0.3260  1 P 1.56
O 0.5296 0.4208 0.3260  1 P 1.56
O 0.6093 0.7500 0.2388  2 H 0.99
O 0.6203 0.5837 0.0744  1 P 1.56
O 0.6203 0.9163 0.0744  1 P 1.56
O 0.6349 0.2500 0.1131  2 H 0.99
O 0.6429 0.6683 0.6884  1 P 1.52
O 0.6429 0.8317 0.6884  1 P 1.52
O 0.6719 0.1685 0.6377  2 H 0.99
O 0.6719 0.3315 0.6377  2 H 0.99
O 0.6914 0.5366 0.6316  1 P 1.59
O 0.6914 0.9634 0.6316  1 P 1.59
O 0.8086 0.0366 0.1316  1 P 1.59
O 0.8086 0.4634 0.1316  1 P 1.59
O 0.8281 0.6685 0.1377  2 H 0.99
O 0.8281 0.8315 0.1377  2 H 0.99
O 0.8571 0.1683 0.1884  1 P 1.52
O 0.8571 0.3317 0.1884  1 P 1.52
O 0.8651 0.7500 0.6131  2 H 0.99
O 0.8797 0.0837 0.5744  1 P 1.56
O 0.8797 0.4163 0.5744  1 P 1.56
O 0.8907 0.2500 0.7388  2 H 0.99
O 0.9704 0.5792 0.8260  1 P 1.56
O 0.9704 0.9208 0.8260  1 P 1.56

Properties
symmetry: Pnma (62)
Fermi-level density of states: 0.000 states/eV/atom
uncorrected energy: -5.675 eV per atom
magnetic moment: 3.0 μB/f.u.